(1)
The following is a meta-GGA SCAN calculation of a PBEsol-optimized structure of MgIn2Cl, from Alexandria via LeMat-Bulk.

a b c (Å): 3.2625 5.7286 6.0956
angles (deg): 117.91 105.52 90.00
With the nearest neighbours (Å) after each atom.
Fractional positions:
In (0.7768, 0.2734, 0.5537)  2 Mg 3.01, 4 In 3.26-3.30
In (0.9973, 0.9991, 0.9946)  5 In 3.26-3.62, 4 Mg 3.29-3.32, 4 Cl 3.44-3.58
Cl (0.2026, 0.6995, 0.4052)  2 Mg 2.46
Mg (0.5233, 0.5280, 0.0466)  2 Cl 2.46

Energy relative to the lowest polymorph listed for this composition, meV/atom: 0
D(E_F), states/eV/cell: 1.4
Uncorrected formation energy, eV/atom: -0.502

***

(2)
The following is a meta-GGA SCAN calculation of a PBEsol-optimized structure of MgInS2Cl, from Alexandria via LeMat-Bulk.

a b c (Å): 4.9170 4.9827 4.9827
angles (deg): 90.00 90.00 90.00
With the nearest neighbours (Å) after each atom.
Fractional positions:
In (0.0000, 0.0000, 0.0000)  2 Cl 2.46, 4 S 2.49
Cl (0.5000, 0.0000, 0.0000)  2 In 2.46
S (0.0000, 0.5000, 0.0000)  2 In 2.49
S (0.0000, 0.0000, 0.5000)  2 In 2.49
Mg (0.5000, 0.5000, 0.5000)  8 S 3.50, 4 Cl 3.52

D(E_F), states/eV/cell: 1.2
Uncorrected formation energy, eV/atom: -0.381